Entry 1:
Below is Ho2ErLu3As2Os after structural relaxation, with properties calculated at the PBE level.

For the total magnetization, the calculation gives 0.0 μB per cell. The calculated density comes out at 10521 kg/m3. As for the space group: Amm2. The value obtained for the calculated total energy is -6.10 eV/atom.

Cell: 4.1318 7.7516 7.7516 Å, 120.02 90.00 90.00°
Fractional positions:
Lu 0.5000 0.2441 0.9997
Ho 0.0000 0.5973 0.9993
Os 0.0000 0.0020 0.0020
As 0.5000 0.3333 0.6659
Lu 0.5000 0.9997 0.2441
As 0.5000 0.6659 0.3333
Er 0.0000 0.4015 0.4015
Ho 0.0000 0.9993 0.5973
Lu 0.5000 0.7570 0.7570

Entry 2:
Below is KSmNO after structural relaxation, with properties calculated at the PBE level.

For the total magnetization, the calculation gives 4.0 μB per cell. The calculated density comes out at 3891 kg/m3. The calculation puts the offset from the most stable computed form at 92.0 meV/atom. As for the space group: Pca2_1.

Cell: 6.9346 8.7286 6.1893 Å, 90.00 90.00 90.00°
Fractional positions:
O 0.3929 0.5753 0.1182
Sm 0.9086 0.3956 0.4816
N 0.4681 0.1718 0.0766
Sm 0.5914 0.3956 0.9816
Sm 0.4086 0.6044 0.4816
K 0.5752 0.8798 0.0260
K 0.4248 0.1202 0.5260
K 0.9248 0.8798 0.5260
N 0.5319 0.8282 0.5766
N 0.9681 0.8282 0.0766
O 0.8929 0.4247 0.1182
O 0.6071 0.4247 0.6182
K 0.0752 0.1202 0.0260
N 0.0319 0.1718 0.5766
Sm 0.0914 0.6044 0.9816
O 0.1071 0.5753 0.6182

Entry 3:
Below is Gd2ErCd3Pt2Au after structural relaxation, with properties calculated at the PBE level.

For the total magnetization, the calculation gives 0.0 μB per cell. The calculated density comes out at 11715 kg/m3. As for the space group: Amm2. The energy of formation comes out at -0.82 eV per atom.

Cell: 3.9234 7.6513 7.6513 Å, 119.80 90.00 90.00°
Fractional positions:
Gd 0.0000 0.5904 0.0005
Cd 0.5000 0.2619 0.9998
Cd 0.5000 0.9998 0.2619
Pt 0.5000 0.6629 0.3338
Au 0.0000 0.0025 0.0025
Pt 0.5000 0.3338 0.6629
Cd 0.5000 0.7382 0.7382
Er 0.0000 0.4100 0.4100
Gd 0.0000 0.0005 0.5904

Entry 4:
Below is MoPt2Pb after structural relaxation, with properties calculated at the PBE level.

For the total magnetization, the calculation gives 0.8 μB per cell. The calculated density comes out at 16332 kg/m3. As for the space group: F-43m. The value obtained for the calculated total energy is -6.39 eV/atom.

Cell: 4.6368 4.6368 4.6368 Å, 60.00 60.00 60.00°
Fractional positions:
Pt 0.0000 0.0000 0.0000
Pb 0.5000 0.5000 0.5000
Mo 0.2500 0.2500 0.2500
Pt 0.7500 0.7500 0.7500

Entry 5:
Below is LuZnCuTc after structural relaxation, with properties calculated at the PBE level.

For the total magnetization, the calculation gives 0.8 μB per cell. The calculated density comes out at 10073 kg/m3. The calculation puts the offset from the most stable computed form at 154.1 meV/atom. As for the space group: F-43m. The energy of formation comes out at 0.26 eV per atom.

Cell: 4.5420 4.5420 4.5420 Å, 60.00 60.00 60.00°
Fractional positions:
Zn 0.0000 0.0000 0.0000
Tc 0.5000 0.5000 0.5000
Lu 0.2500 0.2500 0.2500
Cu 0.7500 0.7500 0.7500

Entry 6:
Below is LaNdPBr2 after structural relaxation, with properties calculated at the PBE level.

For the total magnetization, the calculation gives 0.0 μB per cell. The calculated density comes out at 4732 kg/m3. As for the space group: P3m1. The value obtained for the calculated total energy is -5.49 eV/atom.

Cell: 4.2064 4.2064 10.8531 Å, 90.00 90.00 120.00°
Fractional positions:
Br 0.0000 0.0000 0.6801
P 0.6667 0.3333 0.9963
Br 0.3333 0.6667 0.3244
La 0.0000 0.0000 0.1487
Nd 0.3333 0.6667 0.8505

Entry 7:
Below is SnTePtO after structural relaxation, with properties calculated at the PBE level.

For the total magnetization, the calculation gives 0.0 μB per cell. The calculated density comes out at 9151 kg/m3. The calculation puts the offset from the most stable computed form at 571.0 meV/atom. As for the space group: P4/nmm.

Cell: 4.3853 4.3853 8.6320 Å, 90.00 90.00 90.00°
Fractional positions:
Pt 0.2500 0.2500 0.4751
Sn 0.2500 0.2500 0.7913
Te 0.7500 0.7500 0.8450
Te 0.2500 0.2500 0.1550
Sn 0.7500 0.7500 0.2087
O 0.7500 0.2500 0.5000
O 0.2500 0.7500 0.5000
Pt 0.7500 0.7500 0.5249

Entry 8:
Below is KHfTh after structural relaxation, with properties calculated at the PBE level.

For the total magnetization, the calculation gives 0.1 μB per cell. The calculated density comes out at 6624 kg/m3. The calculation puts the offset from the most stable computed form at 0.0 meV/atom. As for the space group: F-43m.

Cell: 5.4219 5.4219 5.4219 Å, 60.00 60.00 60.00°
Fractional positions:
Hf 0.0000 0.0000 0.0000
Th 0.7500 0.7500 0.7500
K 0.2500 0.2500 0.2500

Entry 9:
Below is Sm2AgSe3 after structural relaxation, with properties calculated at the PBE level.

For the total magnetization, the calculation gives 0.0 μB per cell. The calculated density comes out at 7037 kg/m3. The calculation puts the offset from the most stable computed form at 0.0 meV/atom. As for the space group: P-3m1.

Cell: 4.1801 4.1801 10.0648 Å, 90.00 90.00 120.00°
Fractional positions:
Ag 0.0000 0.0000 0.0000
Se 0.3333 0.6667 0.1630
Se 0.6667 0.3333 0.8370
Se 0.0000 0.0000 0.5000
Sm 0.3333 0.6667 0.6726
Sm 0.6667 0.3333 0.3274

Entry 10:
Below is LiNiGeB after structural relaxation, with properties calculated at the PBE level.

For the total magnetization, the calculation gives 0.0 μB per cell. The calculated density comes out at 5792 kg/m3. The calculation puts the offset from the most stable computed form at 0.0 meV/atom. As for the space group: F-43m.

Cell: 3.9245 3.9245 3.9245 Å, 60.00 60.00 60.00°
Fractional positions:
Ni 0.2500 0.2500 0.2500
Li 0.7500 0.7500 0.7500
B 0.5000 0.5000 0.5000
Ge 0.0000 0.0000 0.0000

Entry 11:
Below is TbHfTl after structural relaxation, with properties calculated at the PBE level.

For the total magnetization, the calculation gives 0.7 μB per cell. The calculated density comes out at 10386 kg/m3. As for the space group: F-43m. The value obtained for the calculated total energy is -5.29 eV/atom.

Cell: 4.9666 4.9666 4.9666 Å, 60.00 60.00 60.00°
Fractional positions:
Tl 0.0000 0.0000 0.0000
Tb 0.7500 0.7500 0.7500
Hf 0.2500 0.2500 0.2500

Entry 12:
Below is NdNb2As3 after structural relaxation, with properties calculated at the PBE level.

For the total magnetization, the calculation gives 0.0 μB per cell. The calculated density comes out at 7304 kg/m3. As for the space group: P-3m1. The value obtained for the calculated total energy is -7.16 eV/atom.

Cell: 4.0333 4.0333 8.9529 Å, 90.00 90.00 120.00°
Fractional positions:
Nd 0.0000 0.0000 0.5000
Nb 0.6667 0.3333 0.1303
As 0.6667 0.3333 0.7012
As 0.0000 0.0000 0.0000
As 0.3333 0.6667 0.2988
Nb 0.3333 0.6667 0.8697